Entry 1:
CaMnTl (GGA-PBEsol, relaxed); spin magnetization = 3.7 Bohr magnetons per cell; SG = I4mm; uncorrected energy = -4.594 eV/atom; N(E_F) = 3.3 states/eV/f.u.
1.0
3.581 0.000 0.000
0.000 3.581 0.000
-1.791 -1.791 5.438
Ca Mn Tl
1 1 1
Cartesian
0.000 0.000 0.020
1.791 1.791 2.072
0.000 0.000 3.347


Entry 2:
CoHg2Os (GGA-PBEsol, relaxed); spin magnetization = 2.6 Bohr magnetons per cell; energy above the most stable polymorph in this dataset = 239 meV/atom; SG = F-43m; N(E_F) = 3.3 states/eV/f.u.
1.0
4.503 0.000 0.000
2.252 3.900 0.000
2.252 1.300 3.677
Os Hg Co
1 2 1
Cartesian
2.252 1.300 0.919
0.000 0.000 0.000
6.755 3.900 2.758
4.503 2.600 1.838


Entry 3:
SrH2I2O (GGA-PBEsol, relaxed); spin magnetization = 0.0 Bohr magnetons per cell; SG = Pnma; uncorrected energy = -4.271 eV/atom; N(E_F) = 0.0 states/eV/f.u.
1.0
-2.988 -1.578 -2.848
0.403 -8.623 4.356
-8.995 3.395 7.554
H I Sr O
8 8 4 4
Cartesian
-7.978 0.675 2.851
-8.244 -3.481 8.861
-3.704 -6.069 5.534
-8.272 -2.097 8.124
-3.602 -7.482 6.209
-3.336 -3.326 0.200
-3.308 -4.710 0.937
-7.876 -0.737 3.526
-9.975 -5.747 8.504
-5.995 -1.660 5.494
-5.585 -5.146 3.567
-5.718 -1.062 1.443
-1.453 -5.554 2.888
-10.127 -1.252 6.173
-5.863 -5.744 7.618
-1.605 -1.060 0.557
-7.946 1.300 5.899
-3.344 -2.628 3.249
-3.635 -8.107 3.162
-8.236 -4.179 5.812
-3.769 -3.832 0.934
-3.208 -6.926 5.489
-8.372 0.120 3.572
-7.811 -2.974 8.127


Entry 4:
SbPRh2 (GGA-PBEsol, relaxed); spin magnetization = 0.0 Bohr magnetons per cell; formation energy without anion corrections = -403 meV/atom; energy above the most stable polymorph in this dataset = 0 meV/atom; SG = Imm2; N(E_F) = 2.1 states/eV/f.u.
1.0
-1.595 -2.653 0.295
-0.110 -0.293 -3.228
6.450 -1.879 1.579
Rh Sb P
2 1 1
Cartesian
0.889 -0.533 0.018
2.163 -3.100 0.207
5.063 -3.033 0.102
2.225 -1.512 -1.568